Record 1
Computed, not measured: a geometry-optimized LaMn2Ag structure at the PBE level of DFT.

Total magnetic moment: 7.2 μB/f.u.
Formation energy from the elements: 123.0 kJ/mol of formula units
Volume: 89.04 Å³/f.u.
Raw total energy: -6.21 eV per atom

Unit cell a=7.9174 b=4.5633 c=5.5876 alpha=90.00 beta=118.10 gamma=90.00
Space group C2/m (No. 12)
Unique sites:
La  0.0000  0.0000  0.0000 [2 per cell]
Mn  0.2064  0.0000  0.6188 [4 per cell]
Ag  0.0000  0.5000  0.5000 [2 per cell]

Record 2
Computed, not measured: a geometry-optimized Eu2AgBi structure at the PBE level of DFT.

Total magnetic moment: 14.0 μB/f.u.
Formation energy from the elements: -227.1 kJ/mol of formula units
Volume: 121.78 Å³/f.u.
Raw total energy: -7.41 eV per atom

Unit cell a=5.4430 b=5.4430 c=4.1107 alpha=90.00 beta=90.00 gamma=90.00
Space group P4/mmm (No. 123)
Unique sites:
Eu  0.0000  0.5000  0.0000 [2 per cell]
Ag  0.0000  0.0000  0.5000 [1 per cell]
Bi  0.5000  0.5000  0.5000 [1 per cell]

Record 3
Computed, not measured: a geometry-optimized EuSbAs2 structure at the PBE level of DFT.

Total magnetic moment: 6.7 μB/f.u.
Uncorrected formation energy: -0.476 eV/atom
Volume: 94.48 Å³/f.u.
Raw total energy: -6.40 eV per atom

Unit cell a=4.7856 b=4.7856 c=4.1253 alpha=90.00 beta=90.00 gamma=90.00
Space group P4/mmm (No. 123)
Unique sites:
Eu  0.0000  0.0000  0.0000 [1 per cell]
Sb  0.5000  0.5000  0.0000 [1 per cell]
As  0.0000  0.5000  0.5000 [2 per cell]

Record 4
Computed, not measured: a geometry-optimized Ce3TlZn structure at the PBE level of DFT.

Total magnetic moment: 2.3 μB/f.u.
Formation energy from the elements: -35.6 kJ/mol of formula units
Volume: 132.19 Å³/f.u.
Raw total energy: -4.36 eV per atom

Unit cell a=5.9265 b=10.4134 c=8.5677 alpha=90.00 beta=90.00 gamma=90.00
Space group Imma (No. 74)
Unique sites:
Ce  0.0000  0.1154  0.1202 [8 per cell]
Ce  0.2500  0.2500  0.7500 [4 per cell]
Tl  0.0000  0.0000  0.5000 [4 per cell]
Zn  0.0000  0.2500  0.4250 [4 per cell]

Record 5
Computed, not measured: a geometry-optimized Pm8HIr3Cl4 structure at the PBE level of DFT.

Total magnetic moment: 0.0 μB/f.u.
Volume: 422.80 Å³/f.u.
Raw total energy: -5.80 eV per atom

Unit cell a=13.9981 b=8.0841 c=8.8126 alpha=90.00 beta=122.01 gamma=90.00
Space group C2/m (No. 12)
Unique sites:
Pm  0.0149  0.2490  0.2962 [8 per cell]
Pm  0.2342  0.0000  0.7039 [4 per cell]
Pm  0.2354  0.5000  0.7059 [4 per cell]
H  0.0000  0.0000  0.5000 [2 per cell]
Ir  0.0000  0.5000  0.5000 [2 per cell]
Ir  0.2500  0.2500  0.5000 [4 per cell]
Cl  0.0000  0.0000  0.0000 [2 per cell]
Cl  0.0000  0.5000  0.0000 [2 per cell]
Cl  0.2500  0.2500  0.0000 [4 per cell]

Record 6
Computed, not measured: a geometry-optimized BaNiAsPd2 structure at the PBE level of DFT.

Total magnetic moment: 0.7 μB/f.u.
Formation energy from the elements: -172.4 kJ/mol of formula units
Volume: 110.60 Å³/f.u.
Raw total energy: -4.91 eV per atom

Unit cell a=4.9328 b=4.9328 c=4.5455 alpha=90.00 beta=90.00 gamma=90.00
Space group P4/mmm (No. 123)
Unique sites:
Ba  0.0000  0.0000  0.0000 [1 per cell]
Ni  0.5000  0.5000  0.0000 [1 per cell]
As  0.5000  0.5000  0.5000 [1 per cell]
Pd  0.0000  0.5000  0.5000 [2 per cell]

Record 7
Computed, not measured: a geometry-optimized SrAl6Zn2 structure at the PBE level of DFT.

Total magnetic moment: 0.0 μB/f.u.
Formation energy from the elements: -105.1 kJ/mol of formula units
Volume: 170.65 Å³/f.u.
Raw total energy: -3.09 eV per atom

Unit cell a=4.1545 b=4.1545 c=9.8872 alpha=90.00 beta=90.00 gamma=90.00
Space group P4/mmm (No. 123)
Unique sites:
Sr  0.0000  0.0000  0.0000 [1 per cell]
Al  0.0000  0.0000  0.5000 [1 per cell]
Al  0.0000  0.5000  0.3016 [4 per cell]
Al  0.5000  0.5000  0.5000 [1 per cell]
Zn  0.5000  0.5000  0.1325 [2 per cell]

Record 8
Computed, not measured: a geometry-optimized TlRe2Os structure at the PBE level of DFT.

Total magnetic moment: 0.0 μB/f.u.
Formation energy from the elements: 286.1 kJ/mol of formula units
Volume: 69.22 Å³/f.u.
Raw total energy: -8.88 eV per atom

Unit cell a=2.8232 b=3.9501 c=6.2074 alpha=90.00 beta=90.00 gamma=90.00
Space group Pmmm (No. 47)
Unique sites:
Tl  0.0000  0.0000  0.0000 [1 per cell]
Re  0.5000  0.5000  0.3007 [2 per cell]
Os  0.0000  0.0000  0.5000 [1 per cell]